# Pm5Si3Ge

A relaxed Pm5Si3Ge crystal (PBE, Alexandria).

Unit cell a=9.0583 b=9.0583 c=6.4582 alpha=90.00 beta=90.00 gamma=120.00
Space group P6_3/mcm (No. 193)
Inequivalent atoms, fractional coordinates:
Pm (0.0000, 0.2656, 0.2500) [6 per cell]
Pm (0.3333, 0.6667, 0.0000) [4 per cell]
Si (0.0000, 0.3853, 0.7500) [6 per cell]
Ge (0.0000, 0.0000, 0.0000) [2 per cell]

Computed properties:
Its total magnetization is 0.00 μB per cell. The value obtained for the uncorrected energy is -0.2043 Ha/atom. The value obtained for the uncorrected formation energy is -598.6 meV/atom. As for the volume: 458.9 Å³/cell.